Record 1
# Be3VS PBE relaxed
data_Be3VS
_cell_length_a 4.323
_cell_length_b 4.323
_cell_length_c 4.323
_cell_angle_alpha 90.00
_cell_angle_beta 90.00
_cell_angle_gamma 90.00
_space_group_name_H-M_alt 'P m -3 m'
_space_group_IT_number 221
_space_group_name_Hall '-P 4 2 3'
loop_
_atom_site_label
_atom_site_fract_x
_atom_site_fract_y
_atom_site_fract_z
Be1 0.000 0.000 0.500
V1 0.000 0.000 0.000
S1 0.500 0.500 0.500
# ΔE_f (raw) in kJ/mol of atoms: 165
# Total magnetic moment in μB per formula unit: 0.000

Record 2
# BaHgBi2Au2 PBE relaxed
data_BaHgBi2Au2
_cell_length_a 7.406
_cell_length_b 9.878
_cell_length_c 5.208
_cell_angle_alpha 90.00
_cell_angle_beta 90.00
_cell_angle_gamma 90.00
_space_group_name_H-M_alt 'P n n m'
_space_group_IT_number 58
loop_
_space_group_symop_operation_xyz
'x,y,z'
'-x,-y,-z'
'-x,-y,z'
'x,y,-z'
'x+1/2,-y+1/2,-z+1/2'
'-x+1/2,y+1/2,z+1/2'
'-x+1/2,y+1/2,-z+1/2'
'x+1/2,-y+1/2,z+1/2'
loop_
_atom_site_label
_atom_site_fract_x
_atom_site_fract_y
_atom_site_fract_z
Ba1 0.000 0.000 0.000
Hg1 0.000 0.500 0.000
Bi1 0.198 0.205 0.500
Au1 0.202 0.799 0.500
# Total magnetic moment in μB per formula unit: 0.000
# DFT formation energy in meV/atom: -334

Record 3
# SrBiO2 PBE relaxed
data_SrBiO2
_cell_length_a 3.125
_cell_length_b 3.125
_cell_length_c 6.665
_cell_angle_alpha 90.00
_cell_angle_beta 90.00
_cell_angle_gamma 90.00
_space_group_name_H-M_alt 'P 4/m m m'
_space_group_IT_number 123
_space_group_name_Hall '-P 4 2'
loop_
_atom_site_label
_atom_site_fract_x
_atom_site_fract_y
_atom_site_fract_z
Sr1 0.000 0.000 0.000
Bi1 0.000 0.000 0.500
O1 0.500 0.500 0.222
# ΔE_f (raw) in kJ/mol of atoms: -118
# Total magnetic moment in μB per formula unit: 0.000

Record 4
# NiRu2Pt PBE relaxed
data_NiRu2Pt
_cell_length_a 4.572
_cell_length_b 4.572
_cell_length_c 2.703
_cell_angle_alpha 90.00
_cell_angle_beta 90.00
_cell_angle_gamma 90.00
_space_group_name_H-M_alt 'P 4/m m m'
_space_group_IT_number 123
_space_group_name_Hall '-P 4 2'
loop_
_atom_site_label
_atom_site_fract_x
_atom_site_fract_y
_atom_site_fract_z
Ni1 0.000 0.000 0.000
Ru1 0.000 0.500 0.500
Pt1 0.500 0.500 0.000
# Total magnetic moment in μB per formula unit: 1.438
# DFT formation energy in meV/atom: 347

Look up the total magnetic moment of the third one.
0.000 μB per formula unit

What is the total magnetic moment in the third record?
0.000 μB per formula unit

Number 1 is which compound?
Be3VS

total magnetic moment of number 3 (SrBiO2)?
0.000 μB per formula unit